(1)
This record from Alexandria describes a PBEsol-optimized structure of La2Co14B. The functional is meta-GGA SCAN.

```
La2Co14B
1.0
8.4725 0.0000 0.0000
0.0000 8.4725 0.0000
0.0000 0.0000 11.7145
La Co B
8 56 4
direct
0.1423 0.1423 0.0000
0.2251 0.2251 0.5000
0.2749 0.7251 0.0000
0.3577 0.6423 0.5000
0.6423 0.3577 0.5000
0.7251 0.2749 0.0000
0.7749 0.7749 0.5000
0.8577 0.8577 0.0000
0.0000 0.0000 0.3840
0.0000 0.0000 0.6160
0.0000 0.5000 0.0000
0.0000 0.5000 0.5000
0.0368 0.6390 0.1798
0.0368 0.6390 0.8202
0.0709 0.7231 0.3727
0.0709 0.7231 0.6273
0.0991 0.9009 0.2093
0.0991 0.9009 0.7907
0.1390 0.4632 0.3202
0.1390 0.4632 0.6798
0.1819 0.1819 0.2529
0.1819 0.1819 0.7471
0.2231 0.4291 0.1273
0.2231 0.4291 0.8727
0.2769 0.9291 0.3727
0.2769 0.9291 0.6273
0.3181 0.6819 0.2471
0.3181 0.6819 0.7529
0.3610 0.9632 0.1798
0.3610 0.9632 0.8202
0.4009 0.4009 0.2907
0.4009 0.4009 0.7093
0.4291 0.2231 0.1273
0.4291 0.2231 0.8727
0.4632 0.1390 0.3202
0.4632 0.1390 0.6798
0.5000 0.0000 0.0000
0.5000 0.0000 0.5000
0.5000 0.5000 0.1160
0.5000 0.5000 0.8840
0.5368 0.8610 0.3202
0.5368 0.8610 0.6798
0.5709 0.7769 0.1273
0.5709 0.7769 0.8727
0.5991 0.5991 0.2907
0.5991 0.5991 0.7093
0.6390 0.0368 0.1798
0.6390 0.0368 0.8202
0.6819 0.3181 0.2471
0.6819 0.3181 0.7529
0.7231 0.0709 0.3727
0.7231 0.0709 0.6273
0.7769 0.5709 0.1273
0.7769 0.5709 0.8727
0.8181 0.8181 0.2529
0.8181 0.8181 0.7471
0.8610 0.5368 0.3202
0.8610 0.5368 0.6798
0.9009 0.0991 0.2093
0.9009 0.0991 0.7907
0.9291 0.2769 0.3727
0.9291 0.2769 0.6273
0.9632 0.3610 0.1798
0.9632 0.3610 0.8202
0.1221 0.8779 0.5000
0.3779 0.3779 0.0000
0.6221 0.6221 0.0000
0.8779 0.1221 0.5000
```

Values from the calculation:
Energy of formation from the pure elements in eV per atom: -0.030
Space group: P4_2/mnm
Calculated volume in Å³ per cell: 840.92
Calculated total energy in eV/atom: -19.79



(2)
This record from Alexandria describes a PBEsol-optimized structure of LaCo2B2. The functional is meta-GGA SCAN.

```
LaCo2B2
1.0
-1.7780 1.7780 5.0557
1.7780 -1.7780 5.0557
1.7780 1.7780 -5.0557
La Co B
1 2 2
direct
0.0000 0.0000 0.0000
0.2500 0.7500 0.5000
0.7500 0.2500 0.5000
0.3344 0.3344 0.0000
0.6656 0.6656 0.0000
```

Values from the calculation:
Energy of formation from the pure elements in eV per atom: -0.449
Space group: I4/mmm
Calculated volume in Å³ per cell: 63.93
Calculated total energy in eV/atom: -18.96



(3)
This record from Alexandria describes a PBEsol-optimized structure of LaCo4B. The functional is meta-GGA SCAN.

```
LaCo4B
1.0
5.0487 0.0000 0.0000
-2.5243 4.3723 0.0000
0.0000 0.0000 6.7324
La Co B
2 8 2
direct
0.0000 0.0000 0.0000
0.0000 0.0000 0.5000
0.0000 0.5000 0.2109
0.0000 0.5000 0.7891
0.3333 0.6667 0.5000
0.5000 0.0000 0.2109
0.5000 0.0000 0.7891
0.5000 0.5000 0.2109
0.5000 0.5000 0.7891
0.6667 0.3333 0.5000
0.3333 0.6667 0.0000
0.6667 0.3333 0.0000
```

Values from the calculation:
Energy of formation from the pure elements in eV per atom: -0.103
Space group: P6/mmm
Calculated volume in Å³ per cell: 148.61
Calculated total energy in eV/atom: -20.06



(4)
This record from Alexandria describes a PBEsol-optimized structure of LaCo4B4. The functional is meta-GGA SCAN.

```
LaCo4B4
1.0
7.0283 0.0000 0.0000
0.0000 7.0283 0.0000
0.0000 0.0000 3.7671
La Co B
2 8 8
direct
0.2500 0.2500 0.2500
0.7500 0.7500 0.7500
0.1100 0.6332 0.1452
0.1332 0.8900 0.6452
0.3668 0.6100 0.6452
0.3900 0.8668 0.1452
0.6100 0.1332 0.8548
0.6332 0.3900 0.3548
0.8668 0.1100 0.3548
0.8900 0.3668 0.8548
0.0482 0.9110 0.1476
0.0890 0.5482 0.6476
0.4110 0.9518 0.6476
0.4518 0.5890 0.1476
0.5482 0.4110 0.8524
0.5890 0.0482 0.3524
0.9110 0.4518 0.3524
0.9518 0.0890 0.8524
```

Values from the calculation:
Energy of formation from the pure elements in eV per atom: -0.367
Space group: P4_2/n
Calculated volume in Å³ per cell: 186.08
Calculated total energy in eV/atom: -16.15



(5)
This record from Alexandria describes a PBEsol-optimized structure of LaYCo8B2. The functional is meta-GGA SCAN.

```
LaYCo8B2
1.0
4.9708 0.0000 0.0000
-2.4854 4.3048 0.0000
0.0000 0.0000 6.7739
La Y Co B
1 1 8 2
direct
0.0000 0.0000 0.0000
0.0000 0.0000 0.5000
0.0000 0.5000 0.2902
0.0000 0.5000 0.7098
0.3333 0.6667 0.0000
0.5000 0.0000 0.2902
0.5000 0.0000 0.7098
0.5000 0.5000 0.2902
0.5000 0.5000 0.7098
0.6667 0.3333 0.0000
0.3333 0.6667 0.5000
0.6667 0.3333 0.5000
```

Values from the calculation:
Energy of formation from the pure elements in eV per atom: -0.168
Space group: P6/mmm
Calculated volume in Å³ per cell: 144.95
Calculated total energy in eV/atom: -18.85



(6)
This record from Alexandria describes a PBEsol-optimized structure of LiCo3B. The functional is meta-GGA SCAN.

```
LiCo3B
1.0
3.6662 0.0000 0.0000
0.0000 3.6662 0.0000
0.0000 0.0000 3.6662
Li Co B
1 3 1
direct
0.0000 0.0000 0.0000
0.0000 0.0000 0.5000
0.0000 0.5000 0.0000
0.5000 0.0000 0.0000
0.5000 0.5000 0.5000
```

Values from the calculation:
Energy of formation from the pure elements in eV per atom: 1.516
Space group: Pm-3m
Calculated volume in Å³ per cell: 49.28
Calculated total energy in eV/atom: -10.83



(7)
This record from Alexandria describes a PBEsol-optimized structure of Li3CoB2O6. The functional is meta-GGA SCAN.

```
Li3CoB2O6
1.0
5.1116 0.0000 0.0000
0.0000 8.8485 0.0000
-4.9761 0.0000 9.4535
Li Co B O
12 4 8 24
direct
0.0016 0.0132 0.1664
0.0016 0.4868 0.6664
0.0427 0.6669 0.8789
0.0427 0.8331 0.3789
0.4296 0.0070 0.6040
0.4296 0.4930 0.1040
0.5704 0.5070 0.8960
0.5704 0.9930 0.3960
0.9573 0.1669 0.6211
0.9573 0.3331 0.1211
0.9984 0.5132 0.3336
0.9984 0.9868 0.8336
0.4638 0.6672 0.6244
0.4638 0.8328 0.1244
0.5362 0.1672 0.8756
0.5362 0.3328 0.3756
0.0498 0.1720 0.3795
0.0498 0.3280 0.8795
0.4695 0.1628 0.1292
0.4695 0.3372 0.6292
0.5305 0.6628 0.3708
0.5305 0.8372 0.8708
0.9502 0.6720 0.1205
0.9502 0.8280 0.6205
0.1444 0.1900 0.8518
0.1444 0.3100 0.3518
0.1869 0.0394 0.3807
0.1869 0.4606 0.8807
0.1963 0.6720 0.0967
0.1963 0.8280 0.5967
0.3127 0.6623 0.4134
0.3127 0.8377 0.9134
0.3488 0.0259 0.1428
0.3488 0.4741 0.6428
0.3701 0.2057 0.6616
0.3701 0.2943 0.1616
0.6299 0.7057 0.8384
0.6299 0.7943 0.3384
0.6512 0.5259 0.3572
0.6512 0.9741 0.8572
0.6873 0.1623 0.0866
0.6873 0.3377 0.5866
0.8037 0.1720 0.4033
0.8037 0.3280 0.9033
0.8131 0.5394 0.1193
0.8131 0.9606 0.6193
0.8556 0.6900 0.6482
0.8556 0.8100 0.1482
```

Values from the calculation:
Space group: P2_1/c
Calculated volume in Å³ per cell: 427.58
Calculated total energy in eV/atom: -8.63



(8)
This record from Alexandria describes a PBEsol-optimized structure of LiCo2B2O6. The functional is meta-GGA SCAN.

```
LiCo2B2O6
1.0
5.1066 0.0000 0.0000
2.5281 4.4503 0.0000
2.5208 1.2914 4.9411
Li Co B O
1 2 2 6
direct
0.0000 0.0000 0.0000
0.3600 0.3317 0.9446
0.8276 0.5454 0.4375
0.5061 0.2087 0.4287
0.6916 0.6791 0.9322
0.2536 0.2726 0.3525
0.4177 0.9347 0.9507
0.4982 0.4195 0.5271
0.7222 0.4328 0.8590
0.7734 0.9500 0.3840
0.9401 0.6489 0.9953
```

Values from the calculation:
Space group: P1
Calculated volume in Å³ per cell: 112.29
Calculated total energy in eV/atom: -10.06



(9)
This record from Alexandria describes a PBEsol-optimized structure of LuCo3B2. The functional is meta-GGA SCAN.

```
LuCo3B2
1.0
4.8823 0.0000 0.0000
-2.4411 4.2282 0.0000
0.0000 0.0000 2.9745
Lu Co B
1 3 2
direct
0.0000 0.0000 0.0000
0.0000 0.5000 0.5000
0.5000 0.0000 0.5000
0.5000 0.5000 0.5000
0.3333 0.6667 0.0000
0.6667 0.3333 0.0000
```

Values from the calculation:
Energy of formation from the pure elements in eV per atom: -0.495
Space group: P6/mmm
Calculated volume in Å³ per cell: 61.40
Calculated total energy in eV/atom: -20.85



(10)
This record from Alexandria describes a PBEsol-optimized structure of Lu2CoB6. The functional is meta-GGA SCAN.

```
Lu2CoB6
1.0
8.9313 0.0000 0.0000
0.0000 11.2475 0.0000
0.0000 0.0000 3.4250
Lu Co B
8 4 24
direct
0.0563 0.1291 0.0000
0.1766 0.4147 0.0000
0.3234 0.9147 0.0000
0.4437 0.6291 0.0000
0.5563 0.3709 0.0000
0.6766 0.0853 0.0000
0.8234 0.5853 0.0000
0.9437 0.8709 0.0000
0.1405 0.6802 0.0000
0.3595 0.1802 0.0000
0.6405 0.8198 0.0000
0.8595 0.3198 0.0000
0.0151 0.2885 0.5000
0.0538 0.5665 0.5000
0.1064 0.9714 0.5000
0.1334 0.8158 0.5000
0.2069 0.2362 0.5000
0.2479 0.5814 0.5000
0.2521 0.0814 0.5000
0.2931 0.7362 0.5000
0.3666 0.3158 0.5000
0.3936 0.4714 0.5000
0.4462 0.0665 0.5000
0.4849 0.7885 0.5000
0.5151 0.2115 0.5000
0.5538 0.9335 0.5000
0.6064 0.5286 0.5000
0.6334 0.6842 0.5000
0.7069 0.2638 0.5000
0.7479 0.9186 0.5000
0.7521 0.4186 0.5000
0.7931 0.7638 0.5000
0.8666 0.1842 0.5000
0.8936 0.0286 0.5000
0.9462 0.4335 0.5000
0.9849 0.7115 0.5000
```

Values from the calculation:
Energy of formation from the pure elements in eV per atom: -0.720
Space group: Pbam
Calculated volume in Å³ per cell: 344.06
Calculated total energy in eV/atom: -19.89



(11)
This record from Alexandria describes a PBEsol-optimized structure of Lu4CoB13. The functional is meta-GGA SCAN.

```
Lu4CoB13
1.0
7.1769 0.0000 0.0000
0.0000 7.1769 0.0000
0.0000 0.0000 6.6506
Lu Co B
8 2 26
direct
0.1822 0.3152 0.0000
0.1848 0.3178 0.5000
0.3152 0.8178 0.0000
0.3178 0.8152 0.5000
0.6822 0.1848 0.5000
0.6848 0.1822 0.0000
0.8152 0.6822 0.5000
0.8178 0.6848 0.0000
0.0000 0.0000 0.5000
0.5000 0.5000 0.0000
0.0000 0.0000 0.0000
0.0391 0.8290 0.2454
0.0391 0.8290 0.7546
0.0896 0.5896 0.2500
0.0896 0.5896 0.7500
0.1710 0.0391 0.2454
0.1710 0.0391 0.7546
0.3290 0.5391 0.2546
0.3290 0.5391 0.7454
0.4104 0.0896 0.2500
0.4104 0.0896 0.7500
0.4609 0.3290 0.2546
0.4609 0.3290 0.7454
0.5000 0.5000 0.5000
0.5391 0.6710 0.2546
0.5391 0.6710 0.7454
0.5896 0.9104 0.2500
0.5896 0.9104 0.7500
0.6710 0.4609 0.2546
0.6710 0.4609 0.7454
0.8290 0.9609 0.2454
0.8290 0.9609 0.7546
0.9104 0.4104 0.2500
0.9104 0.4104 0.7500
0.9609 0.1710 0.2454
0.9609 0.1710 0.7546
```

Values from the calculation:
Energy of formation from the pure elements in eV per atom: -0.588
Space group: P4/mnc
Calculated volume in Å³ per cell: 342.55
Calculated total energy in eV/atom: -19.21



(12)
This record from Alexandria describes a PBEsol-optimized structure of MgCo3B. The functional is meta-GGA SCAN.

```
MgCo3B
1.0
4.1745 0.0000 0.0000
0.0000 4.1745 0.0000
0.0000 0.0000 4.1745
Mg Co B
1 3 1
direct
0.0000 0.0000 0.0000
0.0000 0.0000 0.5000
0.0000 0.5000 0.0000
0.5000 0.0000 0.0000
0.5000 0.5000 0.5000
```

Values from the calculation:
Energy of formation from the pure elements in eV per atom: 2.295
Space group: Pm-3m
Polymorph energy (0 for the lowest one) in meV per atom: 2278.3
Calculated volume in Å³ per cell: 72.75
Calculated total energy in eV/atom: -10.57



(13)
This record from Alexandria describes a PBEsol-optimized structure of MgCo3B. The functional is meta-GGA SCAN.

```
MgCo3B
1.0
3.7955 0.0000 0.0000
0.0000 3.7955 0.0000
0.0000 0.0000 3.7955
Mg Co B
1 3 1
direct
0.0000 0.0000 0.0000
0.0000 0.5000 0.5000
0.5000 0.0000 0.5000
0.5000 0.5000 0.0000
0.5000 0.5000 0.5000
```

Values from the calculation:
Energy of formation from the pure elements in eV per atom: 0.017
Space group: Pm-3m
Polymorph energy (0 for the lowest one) in meV per atom: 0.0
Calculated volume in Å³ per cell: 54.68
Calculated total energy in eV/atom: -12.85



(14)
This record from Alexandria describes a PBEsol-optimized structure of MgCo2B2. The functional is meta-GGA SCAN.

```
MgCo2B2
1.0
5.8994 0.0000 0.0000
0.0000 5.8994 0.0000
0.0000 0.0000 2.5516
Mg Co B
2 4 4
direct
0.0000 0.0000 0.0000
0.5000 0.5000 0.0000
0.1663 0.3337 0.5000
0.3337 0.8337 0.5000
0.6663 0.1663 0.5000
0.8337 0.6663 0.5000
0.1147 0.6147 0.0000
0.3853 0.1147 0.0000
0.6147 0.8853 0.0000
0.8853 0.3853 0.0000
```

Values from the calculation:
Energy of formation from the pure elements in eV per atom: -0.045
Space group: P4/mbm
Calculated volume in Å³ per cell: 88.81
Calculated total energy in eV/atom: -10.93



(15)
This record from Alexandria describes a PBEsol-optimized structure of MgScCoB2. The functional is meta-GGA SCAN.

```
MgScCoB2
1.0
4.3675 0.0000 0.0000
0.0000 4.3675 0.0000
0.0000 0.0000 4.2833
Mg Sc Co B
1 1 1 2
direct
0.0000 0.0000 0.0000
0.5000 0.5000 0.5000
0.5000 0.5000 0.0000
0.0000 0.5000 0.5000
0.5000 0.0000 0.5000
```

Values from the calculation:
Energy of formation from the pure elements in eV per atom: 1.573
Space group: P4/mmm
Calculated volume in Å³ per cell: 81.70
Calculated total energy in eV/atom: -8.70



(16)
This record from Alexandria describes a PBEsol-optimized structure of TaMn2CoB. The functional is meta-GGA SCAN.

```
TaMn2CoB
1.0
4.5527 0.0000 0.0000
0.0000 4.5527 0.0000
0.0000 0.0000 4.3319
Ta Mn Co B
1 2 1 1
direct
0.0000 0.0000 0.0000
0.0000 0.5000 0.0000
0.5000 0.0000 0.0000
0.0000 0.0000 0.5000
0.5000 0.5000 0.5000
```

Values from the calculation:
Energy of formation from the pure elements in eV per atom: 2.131
Space group: P4/mmm
Calculated volume in Å³ per cell: 89.79
Calculated total energy in eV/atom: -23.43



(17)
This record from Alexandria describes a PBEsol-optimized structure of MnZnCo2B. The functional is meta-GGA SCAN.

```
MnZnCo2B
1.0
4.0918 0.0000 0.0000
0.0000 4.0918 0.0000
0.0000 0.0000 3.7750
Mn Zn Co B
1 1 2 1
direct
0.0000 0.0000 0.0000
0.5000 0.5000 0.5000
0.0000 0.5000 0.0000
0.5000 0.0000 0.0000
0.0000 0.0000 0.5000
```

Values from the calculation:
Energy of formation from the pure elements in eV per atom: 1.316
Space group: P4/mmm
Calculated volume in Å³ per cell: 63.21
Calculated total energy in eV/atom: -13.45